First-principles (PBE+U) data for TeWO3 after structural relaxation, as listed in Alexandria.

The total energy is -25.0 eV/f.u. The density of states at the Fermi level is 3.4 states/eV per cell.

The structure belongs to space group Pm-3m (No. 221); the cell edges are 4.1564, 4.1564 and 4.1564 Å and the angles 90.00°, 90.00° and 90.00°. The inequivalent atoms are Te at (0.0000, 0.0000, 0.0000), W at (0.5000, 0.5000, 0.5000) and O at (0.0000, 0.0000, 0.5000).